CsSrCu2F8: relaxed, GGA-PBE.

Properties
The total magnetization comes out at 3.00 μB per formula unit. The value obtained for the formation energy without anion corrections is -2.167 eV/atom. The value obtained for the density of states at the Fermi level is 17.58 states/eV per cell.

```
CsSrCu2F8
1.0
5.757 0.000 0.000
-2.879 4.986 0.000
0.000 0.000 8.804
Cs Sr Cu F
1 1 2 8
Cartesian
0.000 0.000 0.000 Cs
0.000 0.000 4.402 Sr
0.000 3.324 6.593 Cu
2.879 1.662 2.211 Cu
-0.696 1.675 6.001 F
-1.080 4.752 6.001 F
0.000 3.324 8.415 F
1.102 1.441 2.804 F
1.776 3.545 6.001 F
2.879 1.662 0.390 F
3.959 0.234 2.804 F
3.575 3.311 2.804 F
```